VASP calculation (GGA-PBE) on a relaxed structure of Pm7SmTm4.

Summary:
Distance to the lowest polymorph of the same formula: 0 meV per atom

Structure (CIF):
```
data_Pm7SmTm4
_chemical_formula_sum 'Pm7 Sm1 Tm4'
_space_group_name_H-M_alt 'P -1'
_space_group_IT_number 2
_cell_length_a 6.280
_cell_length_b 7.243
_cell_length_c 8.925
_cell_angle_alpha 89.99
_cell_angle_beta 76.46
_cell_angle_gamma 89.97
loop_
_space_group_symop_operation_xyz
'x,y,z'
'-x,-y,-z'
loop_
_atom_site_label
_atom_site_type_symbol
_atom_site_fract_x
_atom_site_fract_y
_atom_site_fract_z
Pm1 Pm 0.000 0.000 0.000
Pm2 Pm 0.222 0.500 0.335
Pm3 Pm 0.281 0.751 0.664
Pm4 Pm 0.499 0.246 0.998
Sm1 Sm 0.000 0.500 0.000
Tm1 Tm 0.219 0.000 0.336
Tm2 Tm 0.278 0.246 0.666
```

---

VASP calculation (GGA-PBE) on a relaxed structure of PmSm9Tm2.

Structure (CIF):
```
data_PmSm9Tm2
_chemical_formula_sum 'Pm1 Sm9 Tm2'
_space_group_name_H-M_alt 'P 4/m m m'
_space_group_IT_number 123
_space_group_name_Hall '-P 4 2'
_cell_length_a 5.098
_cell_length_b 5.098
_cell_length_c 15.295
_cell_angle_alpha 90.00
_cell_angle_beta 90.00
_cell_angle_gamma 90.00
loop_
_atom_site_label
_atom_site_type_symbol
_atom_site_fract_x
_atom_site_fract_y
_atom_site_fract_z
Pm1 Pm 0.000 0.000 0.000
Sm1 Sm 0.000 0.500 0.169
Sm2 Sm 0.000 0.500 0.500
Sm3 Sm 0.500 0.500 0.000
Sm4 Sm 0.500 0.500 0.335
Tm1 Tm 0.000 0.000 0.335
```

---

VASP calculation (GGA-PBE) on a relaxed structure of Pm2SmTm.

Summary:
Distance to the lowest polymorph of the same formula: 7 meV per atom

Structure (CIF):
```
data_Pm2SmTm
_chemical_formula_sum 'Pm4 Sm2 Tm2'
_space_group_name_H-M_alt 'P m m n'
_space_group_IT_number 59
_cell_length_a 5.777
_cell_length_b 7.340
_cell_length_c 6.327
_cell_angle_alpha 90.00
_cell_angle_beta 90.00
_cell_angle_gamma 90.00
loop_
_space_group_symop_operation_xyz
'x,y,z'
'-x,-y,-z'
'-x+1/2,-y+1/2,z'
'x+1/2,y+1/2,-z'
'x+1/2,-y,-z'
'-x+1/2,y,z'
'-x,y+1/2,-z'
'x,-y+1/2,z'
loop_
_atom_site_label
_atom_site_type_symbol
_atom_site_fract_x
_atom_site_fract_y
_atom_site_fract_z
Pm1 Pm 0.250 0.001 0.167
Sm1 Sm 0.250 0.250 0.665
Tm1 Tm 0.250 0.750 0.667
```

---

VASP calculation (GGA-PBE) on a relaxed structure of Pm7Sm3Tm2.

Summary:
Distance to the lowest polymorph of the same formula: 0 meV per atom

Structure (CIF):
```
data_Pm7Sm3Tm2
_chemical_formula_sum 'Pm7 Sm3 Tm2'
_space_group_name_H-M_alt 'P 1 2/m 1'
_space_group_IT_number 10
_cell_length_a 5.912
_cell_length_b 3.605
_cell_length_c 19.069
_cell_angle_alpha 90.00
_cell_angle_beta 93.30
_cell_angle_gamma 90.00
loop_
_space_group_symop_operation_xyz
'x,y,z'
'-x,-y,-z'
'-x,y,-z'
'x,-y,z'
loop_
_atom_site_label
_atom_site_type_symbol
_atom_site_fract_x
_atom_site_fract_y
_atom_site_fract_z
Pm1 Pm 0.000 0.000 0.000
Pm2 Pm 0.186 0.500 0.182
Pm3 Pm 0.257 0.500 0.535
Pm4 Pm 0.316 0.000 0.854
Sm1 Sm 0.219 0.000 0.366
Sm2 Sm 0.500 0.500 0.000
Tm1 Tm 0.291 0.500 0.704
```

---

VASP calculation (GGA-PBE) on a relaxed structure of Pm8Sm6Tm.

Summary:
Distance to the lowest polymorph of the same formula: 0 meV per atom

Structure (CIF):
```
data_Pm8Sm6Tm
_chemical_formula_sum 'Pm24 Sm18 Tm3'
_space_group_name_H-M_alt 'R -3'
_space_group_IT_number 148
_space_group_name_Hall '-R 3'
_cell_length_a 9.2197
_cell_length_b 9.2197
_cell_length_c 20.9619
_cell_angle_alpha 90.00
_cell_angle_beta 90.00
_cell_angle_gamma 120.00
loop_
_atom_site_label
_atom_site_type_symbol
_atom_site_fract_x
_atom_site_fract_y
_atom_site_fract_z
Pm1 Pm 0.0000 0.0000 0.0777
Pm2 Pm 0.0811 0.5247 0.3064
Sm1 Sm 0.0533 0.8062 0.2075
Tm1 Tm 0.0000 0.0000 0.5000
```

---

VASP calculation (GGA-PBE) on a relaxed structure of Pm3SmTm3.

Summary:
Distance to the lowest polymorph of the same formula: 180 meV per atom

Structure (CIF):
```
data_Pm3SmTm3
_chemical_formula_sum 'Pm18 Sm6 Tm18'
_space_group_name_H-M_alt 'R -3'
_space_group_IT_number 148
_space_group_name_Hall '-R 3'
_cell_length_a 8.6533
_cell_length_b 8.6533
_cell_length_c 21.9464
_cell_angle_alpha 90.00
_cell_angle_beta 90.00
_cell_angle_gamma 120.00
loop_
_atom_site_label
_atom_site_type_symbol
_atom_site_fract_x
_atom_site_fract_y
_atom_site_fract_z
Pm1 Pm 0.0479 0.4477 0.3812
Sm1 Sm 0.0000 0.0000 0.1557
Tm1 Tm 0.0052 0.2308 0.5582
```

---

VASP calculation (GGA-PBE) on a relaxed structure of Pm9Sm11Tm4.

Structure (CIF):
```
data_Pm9Sm11Tm4
_chemical_formula_sum 'Pm18 Sm22 Tm8'
_space_group_name_H-M_alt 'C m m m'
_space_group_IT_number 65
_space_group_name_Hall '-C 2 2'
_cell_length_a 16.912
_cell_length_b 26.111
_cell_length_c 3.671
_cell_angle_alpha 90.00
_cell_angle_beta 90.00
_cell_angle_gamma 90.00
loop_
_atom_site_label
_atom_site_type_symbol
_atom_site_fract_x
_atom_site_fract_y
_atom_site_fract_z
Pm1 Pm 0.000 0.000 0.000
Pm2 Pm 0.104 0.230 0.000
Pm3 Pm 0.137 0.425 0.000
Sm1 Sm 0.000 0.129 0.500
Sm2 Sm 0.000 0.335 0.500
Sm3 Sm 0.000 0.500 0.500
Sm4 Sm 0.211 0.000 0.500
Sm5 Sm 0.222 0.319 0.500
Tm1 Tm 0.159 0.101 0.000
```

---

VASP calculation (GGA-PBE) on a relaxed structure of Pm4SmTm15.

Structure (CIF):
```
data_Pm4SmTm15
_chemical_formula_sum 'Pm4 Sm1 Tm15'
_space_group_name_H-M_alt 'P 4/m m m'
_space_group_IT_number 123
_space_group_name_Hall '-P 4 2'
_cell_length_a 4.992
_cell_length_b 4.992
_cell_length_c 24.868
_cell_angle_alpha 90.00
_cell_angle_beta 90.00
_cell_angle_gamma 90.00
loop_
_atom_site_label
_atom_site_type_symbol
_atom_site_fract_x
_atom_site_fract_y
_atom_site_fract_z
Pm1 Pm 0.000 0.000 0.100
Pm2 Pm 0.000 0.000 0.300
Sm1 Sm 0.000 0.000 0.500
Tm1 Tm 0.000 0.500 0.000
Tm2 Tm 0.000 0.500 0.200
Tm3 Tm 0.000 0.500 0.400
Tm4 Tm 0.500 0.500 0.100
Tm5 Tm 0.500 0.500 0.300
Tm6 Tm 0.500 0.500 0.500
```

---

VASP calculation (GGA-PBE) on a relaxed structure of Pm2Sm12Tm5.

Summary:
Distance to the lowest polymorph of the same formula: 15 meV per atom

Structure (CIF):
```
data_Pm2Sm12Tm5
_chemical_formula_sum 'Pm4 Sm24 Tm10'
_space_group_name_H-M_alt 'C 1 2/m 1'
_space_group_IT_number 12
_cell_length_a 15.819
_cell_length_b 9.289
_cell_length_c 8.649
_cell_angle_alpha 90.00
_cell_angle_beta 91.05
_cell_angle_gamma 90.00
loop_
_space_group_symop_operation_xyz
'x,y,z'
'-x,-y,-z'
'-x,y,-z'
'x,-y,z'
'x+1/2,y+1/2,z'
'-x+1/2,-y+1/2,-z'
'-x+1/2,y+1/2,-z'
'x+1/2,-y+1/2,z'
loop_
_atom_site_label
_atom_site_type_symbol
_atom_site_fract_x
_atom_site_fract_y
_atom_site_fract_z
Pm1 Pm 0.000 0.175 0.000
Sm1 Sm 0.063 0.000 0.338
Sm2 Sm 0.089 0.500 0.882
Sm3 Sm 0.127 0.194 0.664
Sm4 Sm 0.155 0.319 0.238
Tm1 Tm 0.000 0.500 0.500
Tm2 Tm 0.199 0.000 0.019
Tm3 Tm 0.230 0.500 0.571
```

---

VASP calculation (GGA-PBE) on a relaxed structure of Pm3SmTm.

Summary:
Distance to the lowest polymorph of the same formula: 219 meV per atom

Structure (CIF):
```
data_Pm3SmTm
_chemical_formula_sum 'Pm12 Sm4 Tm4'
_space_group_name_H-M_alt 'A m a 2'
_space_group_IT_number 40
_cell_length_a 10.276
_cell_length_b 9.679
_cell_length_c 6.947
_cell_angle_alpha 90.00
_cell_angle_beta 90.00
_cell_angle_gamma 90.00
loop_
_space_group_symop_operation_xyz
'x,y,z'
'-x,-y,z'
'-x+1/2,y,z'
'x+1/2,-y,z'
'x,y+1/2,z+1/2'
'-x,-y+1/2,z+1/2'
'-x+1/2,y+1/2,z+1/2'
'x+1/2,-y+1/2,z+1/2'
loop_
_atom_site_label
_atom_site_type_symbol
_atom_site_fract_x
_atom_site_fract_y
_atom_site_fract_z
Pm1 Pm 0.065 0.151 0.000
Pm2 Pm 0.250 0.412 0.235
Sm1 Sm 0.250 0.306 0.682
Tm1 Tm 0.000 0.000 0.453
```

---

VASP calculation (GGA-PBE) on a relaxed structure of Pm7SmTm2.

Structure (CIF):
```
data_Pm7SmTm2
_chemical_formula_sum 'Pm14 Sm2 Tm4'
_space_group_name_H-M_alt 'C m m m'
_space_group_IT_number 65
_space_group_name_Hall '-C 2 2'
_cell_length_a 8.899
_cell_length_b 16.121
_cell_length_c 5.718
_cell_angle_alpha 90.00
_cell_angle_beta 90.00
_cell_angle_gamma 90.00
loop_
_atom_site_label
_atom_site_type_symbol
_atom_site_fract_x
_atom_site_fract_y
_atom_site_fract_z
Pm1 Pm 0.000 0.000 0.000
Pm2 Pm 0.000 0.274 0.500
Pm3 Pm 0.179 0.384 0.000
Sm1 Sm 0.000 0.500 0.500
Tm1 Tm 0.000 0.205 0.000
```

---

VASP calculation (GGA-PBE) on a relaxed structure of Pm4SmTm2.

Summary:
Distance to the lowest polymorph of the same formula: 68 meV per atom

Structure (CIF):
```
data_Pm4SmTm2
_chemical_formula_sum 'Pm8 Sm2 Tm4'
_space_group_name_H-M_alt 'P 1 21/m 1'
_space_group_IT_number 11
_cell_length_a 6.219
_cell_length_b 6.606
_cell_length_c 11.668
_cell_angle_alpha 90.00
_cell_angle_beta 105.45
_cell_angle_gamma 90.00
loop_
_space_group_symop_operation_xyz
'x,y,z'
'-x,-y,-z'
'-x,y+1/2,-z'
'x,-y+1/2,z'
loop_
_atom_site_label
_atom_site_type_symbol
_atom_site_fract_x
_atom_site_fract_y
_atom_site_fract_z
Pm1 Pm 0.026 0.250 0.358
Pm2 Pm 0.147 0.250 0.947
Pm3 Pm 0.353 0.505 0.214
Sm1 Sm 0.158 0.250 0.659
Tm1 Tm 0.293 0.750 0.930
Tm2 Tm 0.396 0.750 0.502
```

---

VASP calculation (GGA-PBE) on a relaxed structure of Pm6Sm2Tm3.

Summary:
Distance to the lowest polymorph of the same formula: 214 meV per atom

Structure (CIF):
```
data_Pm6Sm2Tm3
_chemical_formula_sum 'Pm12 Sm4 Tm6'
_space_group_name_H-M_alt 'I 4/m m m'
_space_group_IT_number 139
_space_group_name_Hall '-I 4 2'
_cell_length_a 4.777
_cell_length_b 4.777
_cell_length_c 33.722
_cell_angle_alpha 90.00
_cell_angle_beta 90.00
_cell_angle_gamma 90.00
loop_
_atom_site_label
_atom_site_type_symbol
_atom_site_fract_x
_atom_site_fract_y
_atom_site_fract_z
Pm1 Pm 0.000 0.000 0.200
Pm2 Pm 0.000 0.500 0.121
Sm1 Sm 0.000 0.000 0.045
Tm1 Tm 0.000 0.000 0.302
Tm2 Tm 0.000 0.000 0.500
```

---

VASP calculation (GGA-PBE) on a relaxed structure of PmSm12Tm5.

Structure (CIF):
```
data_PmSm12Tm5
_chemical_formula_sum 'Pm2 Sm24 Tm10'
_space_group_name_H-M_alt 'C m m m'
_space_group_IT_number 65
_space_group_name_Hall '-C 2 2'
_cell_length_a 15.202
_cell_length_b 15.245
_cell_length_c 5.082
_cell_angle_alpha 90.00
_cell_angle_beta 90.00
_cell_angle_gamma 90.00
loop_
_atom_site_label
_atom_site_type_symbol
_atom_site_fract_x
_atom_site_fract_y
_atom_site_fract_z
Pm1 Pm 0.000 0.000 0.000
Sm1 Sm 0.164 0.500 0.000
Sm2 Sm 0.165 0.334 0.500
Sm3 Sm 0.166 0.167 0.000
Sm4 Sm 0.167 0.000 0.500
Tm1 Tm 0.000 0.168 0.500
Tm2 Tm 0.000 0.333 0.000
Tm3 Tm 0.000 0.500 0.500
```

---

VASP calculation (GGA-PBE) on a relaxed structure of Pm7SmTm3.

Summary:
Distance to the lowest polymorph of the same formula: 12 meV per atom

Structure (CIF):
```
data_Pm7SmTm3
_chemical_formula_sum 'Pm7 Sm1 Tm3'
_space_group_name_H-M_alt 'P 3 m 1'
_space_group_IT_number 156
_cell_length_a 7.1703
_cell_length_b 7.1703
_cell_length_c 8.6355
_cell_angle_alpha 90.00
_cell_angle_beta 90.00
_cell_angle_gamma 120.00
loop_
_space_group_symop_operation_xyz
'x,y,z'
'-y,x-y,z'
'-x+y,-x,z'
'-y,-x,z'
'-x+y,y,z'
'x,x-y,z'
loop_
_atom_site_label
_atom_site_type_symbol
_atom_site_fract_x
_atom_site_fract_y
_atom_site_fract_z
Pm1 Pm 0.0000 0.0000 0.0000
Pm2 Pm 0.1660 0.3320 0.3337
Pm3 Pm 0.5007 0.0014 0.9845
Sm1 Sm 0.6667 0.3333 0.3185
Tm1 Tm 0.3336 0.1668 0.6589
```

---

VASP calculation (GGA-PBE) on a relaxed structure of Pm12SmTm7.

Summary:
Distance to the lowest polymorph of the same formula: 0 meV per atom

Structure (CIF):
```
data_Pm12SmTm7
_chemical_formula_sum 'Pm36 Sm3 Tm21'
_space_group_name_H-M_alt 'R -3 m'
_space_group_IT_number 166
_space_group_name_Hall '-R 3 2"'
_cell_length_a 13.3359
_cell_length_b 13.3359
_cell_length_c 12.8882
_cell_angle_alpha 90.00
_cell_angle_beta 90.00
_cell_angle_gamma 120.00
loop_
_atom_site_label
_atom_site_type_symbol
_atom_site_fract_x
_atom_site_fract_y
_atom_site_fract_z
Pm1 Pm 0.0000 0.2628 0.0000
Pm2 Pm 0.0889 0.1778 0.7689
Sm1 Sm 0.0000 0.0000 0.5000
Tm1 Tm 0.0000 0.0000 0.0000
Tm2 Tm 0.0425 0.5212 0.1191
```

---

VASP calculation (GGA-PBE) on a relaxed structure of Pm3Sm4Tm4.

Summary:
Distance to the lowest polymorph of the same formula: 135 meV per atom

Structure (CIF):
```
data_Pm3Sm4Tm4
_chemical_formula_sum 'Pm6 Sm8 Tm8'
_space_group_name_H-M_alt 'A m m 2'
_space_group_IT_number 38
_cell_length_a 10.666
_cell_length_b 5.703
_cell_length_c 12.033
_cell_angle_alpha 90.00
_cell_angle_beta 90.00
_cell_angle_gamma 90.00
loop_
_space_group_symop_operation_xyz
'x,y,z'
'-x,-y,z'
'-x,y,z'
'x,-y,z'
'x,y+1/2,z+1/2'
'-x,-y+1/2,z+1/2'
'-x,y+1/2,z+1/2'
'x,-y+1/2,z+1/2'
loop_
_atom_site_label
_atom_site_type_symbol
_atom_site_fract_x
_atom_site_fract_y
_atom_site_fract_z
Pm1 Pm 0.000 0.000 0.000
Pm2 Pm 0.290 0.000 0.157
Sm1 Sm 0.000 0.000 0.706
Sm2 Sm 0.212 0.000 0.498
Sm3 Sm 0.500 0.000 0.631
Tm1 Tm 0.000 0.000 0.302
Tm2 Tm 0.302 0.000 0.850
Tm3 Tm 0.500 0.000 0.358
```

---

VASP calculation (GGA-PBE) on a relaxed structure of Pm2Sm5Tm2.

Summary:
Distance to the lowest polymorph of the same formula: 0 meV per atom

Structure (CIF):
```
data_Pm2Sm5Tm2
_chemical_formula_sum 'Pm2 Sm5 Tm2'
_space_group_name_H-M_alt 'P -1'
_space_group_IT_number 2
_cell_length_a 6.233
_cell_length_b 6.245
_cell_length_c 8.049
_cell_angle_alpha 74.90
_cell_angle_beta 82.37
_cell_angle_gamma 80.25
loop_
_space_group_symop_operation_xyz
'x,y,z'
'-x,-y,-z'
loop_
_atom_site_label
_atom_site_type_symbol
_atom_site_fract_x
_atom_site_fract_y
_atom_site_fract_z
Pm1 Pm 0.223 0.112 0.055
Sm1 Sm 0.000 0.000 0.500
Sm2 Sm 0.111 0.557 0.280
Sm3 Sm 0.334 0.666 0.830
Tm1 Tm 0.445 0.222 0.609
```

---

VASP calculation (GGA-PBE) on a relaxed structure of Pm4Sm4Tm.

Structure (CIF):
```
data_Pm4Sm4Tm
_chemical_formula_sum 'Pm8 Sm8 Tm2'
_space_group_name_H-M_alt 'C 1 2/m 1'
_space_group_IT_number 12
_cell_length_a 15.370
_cell_length_b 5.125
_cell_length_c 8.094
_cell_angle_alpha 90.00
_cell_angle_beta 108.51
_cell_angle_gamma 90.00
loop_
_space_group_symop_operation_xyz
'x,y,z'
'-x,-y,-z'
'-x,y,-z'
'x,-y,z'
'x+1/2,y+1/2,z'
'-x+1/2,-y+1/2,-z'
'-x+1/2,y+1/2,-z'
'x+1/2,-y+1/2,z'
loop_
_atom_site_label
_atom_site_type_symbol
_atom_site_fract_x
_atom_site_fract_y
_atom_site_fract_z
Pm1 Pm 0.166 0.000 0.000
Pm2 Pm 0.222 0.500 0.333
Sm1 Sm 0.055 0.000 0.333
Sm2 Sm 0.111 0.500 0.668
Tm1 Tm 0.000 0.500 0.000
```

---

Summary of calculated volume in Å³/atom
32.89, 33.12, 33.54, 33.81, 34.29, 33.88, 33.77, 30.99, 33.44, 34.55, 41.01, 33.00, 34.97, 32.72, 34.95, 33.08, 33.27, 32.98, 33.59
(order as listed above)
Summary of formation energy in eV per atom
0.001, 0.019, 0.024, 0.091, 0.114, 0.198, 0.054, 0.026, 0.130, 0.225, 0.650, 0.126, 0.291, 0.021, 0.190, 0.101, 0.154, 0.017, 0.015
(order as listed above)
Summary of DOS(E_F) in states/eV/cell
15.06, 19.15, 13.90, 16.62, 65.45, 61.16, 63.36, 28.13, 53.37, 28.85, 29.21, 20.58, 31.05, 52.23, 17.40, 109.77, 32.87, 11.62, 25.18
(order as listed above)